# 1
First-principles (PBE) data for a geometry-optimized MgHgTe2 structure, as listed in Alexandria.

The structure in POSCAR format:
```
MgHgTe2
1.0
6.174 0.024 0.030
5.373 3.041 0.030
2.624 0.697 6.876
Hg Te Mg
1 2 1
Direct
0.539 0.539 0.398 Hg
0.929 0.929 0.056 Te
0.782 0.782 0.683 Te
0.251 0.251 0.363 Mg
```

Output
The total energy is -2.26 eV per atom. The space group is No. 8.

***

# 2
First-principles (PBE) data for a geometry-optimized MgHgTe2 structure, as listed in Alexandria.

The structure in POSCAR format:
```
MgHgTe2
1.0
11.561 -0.006 -0.004
11.008 3.534 -0.004
11.008 1.720 3.087
Te Mg Hg
2 1 1
Direct
0.478 0.478 0.478 Te
0.022 0.022 0.022 Te
0.750 0.750 0.750 Mg
0.250 0.250 0.250 Hg
```

Output
The total energy is -2.26 eV per atom. The space group is No. 166.

***

| no. | total moment (μB per cell) | excess energy over the best structure of this formula in the dataset (meV per atom) |
| --- | --- | --- |
| 1 | 0.00 | 297 |
| 2 | 0.00 | 295 |